A plane-wave DFT calculation with PBE was carried out for a relaxed Cd2RhPbO6 crystal.

As for the symmetry: R3. The calculated volume is 13.36 Å³ per atom. The value obtained for the density of states at the Fermi level is 4.82 states/eV/cell. The calculation puts the formation energy (no corrections) at -834 meV per atom.

Structure (POSCAR):
```
Cd2RhPbO6
1.0
2.8374 1.6382 4.7902
-2.8374 1.6382 4.7902
0.0000 -3.2763 4.7902
Cd Rh Pb O
2 1 1 6
direct
0.0000 0.0000 0.0000 Cd
0.4944 0.4944 0.4944 Cd
0.7781 0.7781 0.7781 Rh
0.2689 0.2689 0.2689 Pb
0.0366 0.4291 0.6603 O
0.1349 0.8883 0.5814 O
0.4291 0.6603 0.0366 O
0.5814 0.1349 0.8883 O
0.6603 0.0366 0.4291 O
0.8883 0.5814 0.1349 O
```

***

A plane-wave DFT calculation with PBE was carried out for a relaxed CdRhPb2O6 crystal.

As for the symmetry: P2_1/c. The calculated volume is 13.71 Å³ per atom. The value obtained for the density of states at the Fermi level is 5.31 states/eV/cell. The calculation puts the formation energy (no corrections) at -913 meV per atom.

Structure (POSCAR):
```
CdRhPb2O6
1.0
5.6269 0.0000 0.0000
0.0000 5.9275 0.0000
-5.5064 0.0000 8.2227
Cd Rh Pb O
2 2 4 12
direct
0.0000 0.0000 0.0000 Cd
0.0000 0.5000 0.5000 Cd
0.5000 0.0000 0.5000 Rh
0.5000 0.5000 0.0000 Rh
0.2205 0.0421 0.7312 Pb
0.2205 0.4579 0.2312 Pb
0.7795 0.5421 0.7688 Pb
0.7795 0.9579 0.2688 Pb
0.1618 0.1712 0.4640 O
0.1618 0.3288 0.9640 O
0.2352 0.7303 0.4123 O
0.2352 0.7697 0.9123 O
0.3937 0.0813 0.2756 O
0.3937 0.4187 0.7756 O
0.6063 0.5813 0.2244 O
0.6063 0.9187 0.7244 O
0.7648 0.2303 0.0877 O
0.7648 0.2697 0.5877 O
0.8382 0.6712 0.0360 O
0.8382 0.8288 0.5360 O
```

***

A plane-wave DFT calculation with PBE was carried out for a relaxed Cd2RuPbO6 crystal.

As for the symmetry: P4mm. The calculated volume is 17.13 Å³ per atom. The value obtained for the density of states at the Fermi level is 0.07 states/eV/cell. The calculation puts the formation energy (no corrections) at -784 meV per atom.

Structure (POSCAR):
```
Cd2RuPbO6
1.0
5.7197 0.0000 0.0000
0.0000 5.7197 0.0000
0.0000 0.0000 5.2373
Cd Ru Pb O
2 1 1 6
direct
0.0000 0.5000 0.0000 Cd
0.5000 0.0000 0.0000 Cd
0.0000 0.0000 0.6583 Ru
0.5000 0.5000 0.6033 Pb
0.0000 0.0000 0.3291 O
0.2219 0.2219 0.7912 O
0.2219 0.7781 0.7912 O
0.5000 0.5000 0.1938 O
0.7781 0.2219 0.7912 O
0.7781 0.7781 0.7912 O
```

***

A plane-wave DFT calculation with PBE was carried out for a relaxed CdPbS2O8 crystal.

As for the symmetry: R-3. The calculated volume is 13.41 Å³ per atom. The value obtained for the density of states at the Fermi level is 0.00 states/eV/cell. The calculation puts the formation energy (no corrections) at -1388 meV per atom.

Structure (POSCAR):
```
CdPbS2O8
1.0
2.4997 1.4432 7.4334
-2.4997 1.4432 7.4334
0.0000 -2.8864 7.4334
Cd Pb S O
1 1 2 8
direct
0.0000 0.0000 0.0000 Cd
0.5000 0.5000 0.5000 Pb
0.2485 0.2485 0.2485 S
0.7515 0.7515 0.7515 S
0.0207 0.4540 0.7162 O
0.1814 0.1814 0.1814 O
0.2838 0.9793 0.5460 O
0.4540 0.7162 0.0207 O
0.5460 0.2838 0.9793 O
0.7162 0.0207 0.4540 O
0.8186 0.8186 0.8186 O
0.9793 0.5460 0.2838 O
```

***

A plane-wave DFT calculation with PBE was carried out for a relaxed CdPbSO2 crystal.

As for the symmetry: P4/mmm. The calculated volume is 26.03 Å³ per atom. The value obtained for the density of states at the Fermi level is 2.63 states/eV/cell. The calculation puts the formation energy (no corrections) at 120 meV per atom.

Structure (POSCAR):
```
CdPbSO2
1.0
4.1087 0.0000 0.0000
0.0000 4.1087 0.0000
0.0000 0.0000 7.7095
Cd Pb S O
1 1 1 2
direct
0.0000 0.0000 0.0000 Cd
0.0000 0.0000 0.5000 Pb
0.5000 0.5000 0.5000 S
0.0000 0.5000 0.0000 O
0.5000 0.0000 0.0000 O
```

***

A plane-wave DFT calculation with PBE was carried out for a relaxed CdSbPbO6 crystal.

As for the symmetry: P-31c. The calculated volume is 14.11 Å³ per atom. The value obtained for the density of states at the Fermi level is 9.85 states/eV/cell. The calculation puts the formation energy (no corrections) at -948 meV per atom.

Structure (POSCAR):
```
CdSbPbO6
1.0
5.5910 0.0000 0.0000
-2.7955 4.8419 0.0000
0.0000 0.0000 9.3847
Cd Sb Pb O
2 2 2 12
direct
0.0000 0.0000 0.0000 Cd
0.0000 0.0000 0.5000 Cd
0.3333 0.6667 0.2500 Sb
0.6667 0.3333 0.7500 Sb
0.3333 0.6667 0.7500 Pb
0.6667 0.3333 0.2500 Pb
0.0258 0.3698 0.1320 O
0.0258 0.6561 0.3680 O
0.3439 0.3698 0.3680 O
0.3439 0.9742 0.1320 O
0.3698 0.0258 0.6320 O
0.3698 0.3439 0.8680 O
0.6302 0.6561 0.1320 O
0.6302 0.9742 0.3680 O
0.6561 0.0258 0.8680 O
0.6561 0.6302 0.6320 O
0.9742 0.3439 0.6320 O
0.9742 0.6302 0.8680 O
```

***

Q: What is the calculated volume in the sixth record?
A: 14.11 Å³ per atom